## MnAgSe (PBE)

Data for a relaxed structure of MnAgSe.

Cell lengths 5.644, 5.644, 6.649 Å; angles 107.88, 107.88, 37.23 degrees
Element x y z (fractional)
Mn: 0.000 0.000 0.000
Mn: 0.749 0.749 0.605
Ag: 0.282 0.282 0.937
Ag: 0.475 0.475 0.331
Se: 0.211 0.211 0.330
Se: 0.558 0.558 0.768

Calculated values
ΔE to the lowest computed polymorph, meV per atom: 78.6
Uncorrected formation energy, kJ/mol of formula units: 4
N(E_F), states/eV/cell: 2.5
Total DFT energy (no corrections), eV per atom: -5.16


## MnAgSe (PBE)

Data for a relaxed structure of MnAgSe.

Cell lengths 3.136, 3.136, 6.348 Å; angles 90.00, 90.00, 120.00 degrees
Element x y z (fractional)
Mn: 0.000 0.000 0.000
Ag: 0.667 0.333 0.667
Se: 0.667 0.333 0.232

Calculated values
ΔE to the lowest computed polymorph, meV per atom: 112.0
Uncorrected formation energy, kJ/mol of formula units: 13
N(E_F), states/eV/cell: 0.6
Total DFT energy (no corrections), eV per atom: -5.12


## MnAg3Se (PBE)

Data for a relaxed structure of MnAg3Se.

Cell lengths 4.947, 4.947, 4.947 Å; angles 90.00, 90.00, 90.00 degrees
Element x y z (fractional)
Mn: 0.000 0.000 0.000
Ag: 0.000 0.000 0.500
Ag: 0.000 0.500 0.000
Ag: 0.500 0.000 0.000
Se: 0.500 0.500 0.500

Calculated values
ΔE to the lowest computed polymorph, meV per atom: 202.3
Uncorrected formation energy, kJ/mol of formula units: 451
N(E_F), states/eV/cell: 5.0
Total DFT energy (no corrections), eV per atom: -3.31


## MnAg3Se (PBE)

Data for a relaxed structure of MnAg3Se.

Cell lengths 5.055, 5.055, 5.055 Å; angles 90.00, 90.00, 90.00 degrees
Element x y z (fractional)
Mn: 0.000 0.000 0.000
Ag: 0.000 0.500 0.500
Ag: 0.500 0.000 0.500
Ag: 0.500 0.500 0.000
Se: 0.500 0.500 0.500

Calculated values
ΔE to the lowest computed polymorph, meV per atom: 0.0
Uncorrected formation energy, kJ/mol of formula units: 354
N(E_F), states/eV/cell: 4.3
Total DFT energy (no corrections), eV per atom: -3.51


## MnAg2Se2 (PBE)

Data for a relaxed structure of MnAg2Se2.

Cell lengths 7.638, 7.638, 7.638 Å; angles 150.55, 150.55, 42.14 degrees
Element x y z (fractional)
Mn: 0.000 0.000 0.000
Ag: 0.407 0.407 0.000
Ag: 0.593 0.593 0.000
Se: 0.250 0.750 0.500
Se: 0.750 0.250 0.500

Calculated values
ΔE to the lowest computed polymorph, meV per atom: 223.3
Uncorrected formation energy, kJ/mol of formula units: 209
N(E_F), states/eV/cell: 3.3
Total DFT energy (no corrections), eV per atom: -3.94


## MnAgSe (PBE)

Data for a relaxed structure of MnAgSe.

Cell lengths 3.609, 3.609, 8.653 Å; angles 95.64, 95.64, 89.59 degrees
Element x y z (fractional)
Mn: 0.000 0.000 0.000
Mn: 0.533 0.533 0.196
Ag: 0.061 0.061 0.323
Ag: 0.083 0.083 0.663
Se: 0.478 0.478 0.910
Se: 0.592 0.592 0.486

Calculated values
ΔE to the lowest computed polymorph, meV per atom: 100.8
Uncorrected formation energy, kJ/mol of formula units: 10
N(E_F), states/eV/cell: 4.6
Total DFT energy (no corrections), eV per atom: -5.13


## MnAgSe (PBE)

Data for a relaxed structure of MnAgSe.

Cell lengths 3.338, 4.619, 8.394 Å; angles 89.99, 78.79, 89.99 degrees
Element x y z (fractional)
Mn: 0.063 0.252 0.371
Mn: 0.937 0.748 0.629
Ag: 0.429 0.248 0.645
Ag: 0.571 0.752 0.355
Se: 0.333 0.747 0.841
Se: 0.667 0.253 0.159

Calculated values
ΔE to the lowest computed polymorph, meV per atom: 54.0
Uncorrected formation energy, kJ/mol of formula units: -3
N(E_F), states/eV/cell: 2.0
Total DFT energy (no corrections), eV per atom: -5.18


## MnAg4Se4 (PBE)

Data for a relaxed structure of MnAg4Se4.

Cell lengths 7.045, 7.045, 7.045 Å; angles 129.16, 129.16, 74.75 degrees
Element x y z (fractional)
Mn: 0.000 0.000 0.000
Ag: 0.000 0.500 0.500
Ag: 0.370 0.370 0.000
Ag: 0.500 0.000 0.500
Ag: 0.630 0.630 0.000
Se: 0.051 0.654 0.000
Se: 0.346 0.346 0.397
Se: 0.654 0.051 0.000
Se: 0.949 0.949 0.603

Calculated values
Uncorrected formation energy, kJ/mol of formula units: -115
N(E_F), states/eV/cell: 2.2
Total DFT energy (no corrections), eV per atom: -3.97


## Mn2AgSe2 (PBE)

Data for a relaxed structure of Mn2AgSe2.

Cell lengths 7.352, 7.352, 3.406 Å; angles 90.00, 90.00, 90.00 degrees
Element x y z (fractional)
Mn: 0.139 0.361 0.000
Mn: 0.361 0.861 0.000
Mn: 0.639 0.139 0.000
Mn: 0.861 0.639 0.000
Ag: 0.000 0.000 0.500
Ag: 0.500 0.500 0.500
Se: 0.160 0.660 0.500
Se: 0.340 0.160 0.500
Se: 0.660 0.840 0.500
Se: 0.840 0.340 0.500

Calculated values
ΔE to the lowest computed polymorph, meV per atom: 21.8
Uncorrected formation energy, kJ/mol of formula units: 3
N(E_F), states/eV/cell: 5.9
Total DFT energy (no corrections), eV per atom: -5.63


## Mn2AgSe4 (PBE)

Data for a relaxed structure of Mn2AgSe4.

Cell lengths 6.321, 3.681, 6.607 Å; angles 90.00, 92.12, 90.00 degrees
Element x y z (fractional)
Mn: 0.000 0.000 0.000
Mn: 0.500 0.500 0.000
Ag: 0.000 0.000 0.500
Se: 0.174 0.500 0.218
Se: 0.326 0.000 0.791
Se: 0.674 0.000 0.209
Se: 0.826 0.500 0.782

Calculated values
ΔE to the lowest computed polymorph, meV per atom: 20.6
Uncorrected formation energy, kJ/mol of formula units: -241
N(E_F), states/eV/cell: 2.6
Total DFT energy (no corrections), eV per atom: -5.37


## MnAgSe4 (PBE)

Data for a relaxed structure of MnAgSe4.

Cell lengths 5.708, 5.708, 5.708 Å; angles 60.00, 60.00, 60.00 degrees
Element x y z (fractional)
Mn: 0.000 0.000 0.000
Ag: 0.250 0.250 0.250
Se: 0.125 0.625 0.625
Se: 0.625 0.125 0.625
Se: 0.625 0.625 0.125
Se: 0.625 0.625 0.625

Calculated values
Uncorrected formation energy, kJ/mol of formula units: 362
N(E_F), states/eV/cell: 1.9
Total DFT energy (no corrections), eV per atom: -3.70


## MnAgSe (PBE)

Data for a relaxed structure of MnAgSe.

Cell lengths 4.419, 4.419, 4.419 Å; angles 60.00, 60.00, 60.00 degrees
Element x y z (fractional)
Mn: 0.000 0.000 0.000
Ag: 0.750 0.750 0.750
Se: 0.250 0.250 0.250

Calculated values
ΔE to the lowest computed polymorph, meV per atom: 120.4
Uncorrected formation energy, kJ/mol of formula units: 16
N(E_F), states/eV/cell: 1.0
Total DFT energy (no corrections), eV per atom: -5.11


N(E_F) of number 1 (MnAgSe)? 2.5 states/eV/cell